Entry 1:
First-principles (PBE) data for NaCdPd after structural relaxation, as listed in Alexandria.

energy above the lowest structure with this stoichiometry: 0.60 eV per formula unit
formation energy from the elements: -92 meV/atom

Cell: 4.6383 4.6383 4.6383 Å, 60.00 60.00 60.00°
Positions (direct):
Na 0.0000 0.0000 0.0000
Cd 0.5000 0.5000 0.5000
Pd 0.2500 0.2500 0.2500

Entry 2:
First-principles (PBE) data for NaCd2Pd after structural relaxation, as listed in Alexandria.

formation energy from the elements: -160 meV/atom

Cell: 5.5945 5.5945 5.5945 Å, 49.77 49.77 49.77°
Positions (direct):
Na 0.0000 0.0000 0.0000
Cd 0.2120 0.2120 0.2120
Cd 0.4471 0.4471 0.4471
Pd 0.8054 0.8054 0.8054

Entry 3:
First-principles (PBE) data for NaCdPd after structural relaxation, as listed in Alexandria.

energy above the lowest structure with this stoichiometry: 0.15 eV per formula unit
formation energy from the elements: -240 meV/atom

Cell: 5.1210 6.1389 4.5496 Å, 90.00 90.00 90.00°
Positions (direct):
Na 0.0000 0.0000 0.0000
Na 0.0000 0.5000 0.0448
Cd 0.5000 0.0000 0.5193
Cd 0.5000 0.5000 0.5226
Pd 0.5000 0.2498 0.0208
Pd 0.5000 0.7502 0.0208

Entry 4:
First-principles (PBE) data for Na4Cd5Pd after structural relaxation, as listed in Alexandria.

formation energy from the elements: -118 meV/atom

Cell: 7.5804 7.5804 7.5804 Å, 97.00 97.00 139.15°
Positions (direct):
Na 0.0000 0.2941 0.2941
Na 0.0000 0.7059 0.7059
Na 0.2941 0.0000 0.2941
Na 0.7059 0.0000 0.7059
Cd 0.2861 0.2861 0.6303
Cd 0.2861 0.6558 0.0000
Cd 0.6558 0.2861 0.0000
Cd 0.6558 0.6558 0.3697
Cd 0.7868 0.7868 0.0000
Pd 0.2832 0.2832 0.0000

Entry 5:
First-principles (PBE) data for NaCdPd after structural relaxation, as listed in Alexandria.

energy above the lowest structure with this stoichiometry: 0.39 eV per formula unit
formation energy from the elements: -162 meV/atom

Cell: 4.7634 4.7634 2.9556 Å, 90.00 90.00 120.00°
Positions (direct):
Na 0.0000 0.0000 0.0000
Cd 0.3333 0.6667 0.3806
Pd 0.6667 0.3333 0.6726

Entry 6:
First-principles (PBE) data for NaCd4Pd7 after structural relaxation, as listed in Alexandria.

formation energy from the elements: -141 meV/atom

Cell: 5.7403 5.7403 10.1844 Å, 117.32 117.32 50.91°
Positions (direct):
Na 0.0000 0.0000 0.0000
Cd 0.2697 0.2697 0.6862
Cd 0.4080 0.4080 0.2273
Cd 0.5920 0.5920 0.7727
Cd 0.7303 0.7303 0.3138
Pd 0.0359 0.0359 0.3779
Pd 0.2095 0.2095 0.9174
Pd 0.3471 0.3471 0.4644
Pd 0.5000 0.5000 0.0000
Pd 0.6529 0.6529 0.5356
Pd 0.7905 0.7905 0.0826
Pd 0.9641 0.9641 0.6221

Entry 7:
First-principles (PBE) data for Na17Cd11Pd after structural relaxation, as listed in Alexandria.

formation energy from the elements: -93 meV/atom

Cell: 10.1037 10.1037 10.0022 Å, 109.21 109.21 110.29°
Positions (direct):
Na 0.0000 0.0000 0.0000
Na 0.0134 0.0134 0.6190
Na 0.0751 0.6669 0.9537
Na 0.0768 0.3536 0.2652
Na 0.2547 0.2547 0.5430
Na 0.2585 0.9563 0.8671
Na 0.3176 0.6540 0.2605
Na 0.3468 0.6638 0.6789
Na 0.3536 0.0768 0.2652
Na 0.3837 0.9722 0.5762
Na 0.6540 0.3176 0.2605
Na 0.6585 0.6585 0.2625
Na 0.6638 0.3468 0.6789
Na 0.6669 0.0751 0.9537
Na 0.6705 0.6705 0.9130
Na 0.9563 0.2585 0.8671
Na 0.9722 0.3837 0.5762
Cd 0.0247 0.6649 0.4536
Cd 0.0255 0.8472 0.2662
Cd 0.3005 0.4788 0.9092
Cd 0.4689 0.4689 0.4238
Cd 0.4788 0.3005 0.9092
Cd 0.4799 0.8414 0.0811
Cd 0.6636 0.8443 0.6334
Cd 0.6649 0.0247 0.4536
Cd 0.8414 0.4799 0.0811
Cd 0.8443 0.6636 0.6334
Cd 0.8472 0.0255 0.2662
Pd 0.3110 0.3110 0.0856

Entry 8:
First-principles (PBE) data for Na2CdPd2 after structural relaxation, as listed in Alexandria.

energy above the lowest structure with this stoichiometry: 0.07 eV per formula unit
formation energy from the elements: -157 meV/atom

Cell: 5.6136 5.6136 8.3660 Å, 102.26 102.26 59.93°
Positions (direct):
Na 0.0090 0.2954 0.1513
Na 0.2954 0.0090 0.6513
Na 0.7046 0.9910 0.3487
Na 0.9910 0.7046 0.8487
Cd 0.3421 0.6579 0.2500
Cd 0.6579 0.3421 0.7500
Pd 0.2337 0.5078 0.4992
Pd 0.4922 0.7663 0.0008
Pd 0.5078 0.2337 0.9992
Pd 0.7663 0.4922 0.5008

Entry 9:
First-principles (PBE) data for NaPmCdPd after structural relaxation, as listed in Alexandria.

formation energy from the elements: -275 meV/atom

Cell: 5.1184 5.1184 5.1184 Å, 60.00 60.00 60.00°
Positions (direct):
Na 0.0000 0.0000 0.0000
Pm 0.5000 0.5000 0.5000
Cd 0.7500 0.7500 0.7500
Pd 0.2500 0.2500 0.2500

Entry 10:
First-principles (PBE) data for NaPrCdPd after structural relaxation, as listed in Alexandria.

formation energy from the elements: -269 meV/atom

Cell: 5.1704 5.1704 5.1704 Å, 60.00 60.00 60.00°
Positions (direct):
Na 0.0000 0.0000 0.0000
Pr 0.5000 0.5000 0.5000
Cd 0.2500 0.2500 0.2500
Pd 0.7500 0.7500 0.7500

Entry 11:
First-principles (PBE) data for Na2Cd5PdPt2 after structural relaxation, as listed in Alexandria.

formation energy from the elements: -282 meV/atom

Cell: 10.7571 10.7571 3.6940 Å, 90.00 90.00 90.00°
Positions (direct):
Na 0.1711 0.3289 0.0000
Na 0.3289 0.8289 0.0000
Na 0.6711 0.1711 0.0000
Na 0.8289 0.6711 0.0000
Cd 0.0000 0.5000 0.5000
Cd 0.0638 0.8095 0.5000
Cd 0.1905 0.0638 0.5000
Cd 0.3095 0.5638 0.5000
Cd 0.4362 0.3095 0.5000
Cd 0.5000 0.0000 0.5000
Cd 0.5638 0.6905 0.5000
Cd 0.6905 0.4362 0.5000
Cd 0.8095 0.9362 0.5000
Cd 0.9362 0.1905 0.5000
Pd 0.0000 0.0000 0.0000
Pd 0.5000 0.5000 0.0000
Pt 0.1315 0.6315 0.0000
Pt 0.3685 0.1315 0.0000
Pt 0.6315 0.8685 0.0000
Pt 0.8685 0.3685 0.0000

Entry 12:
First-principles (PBE) data for NaCdPdPt after structural relaxation, as listed in Alexandria.

formation energy from the elements: -179 meV/atom

Cell: 4.6327 4.6327 4.6327 Å, 60.00 60.00 60.00°
Positions (direct):
Na 0.0000 0.0000 0.0000
Cd 0.5000 0.5000 0.5000
Pd 0.2500 0.2500 0.2500
Pt 0.7500 0.7500 0.7500

Entry 13:
First-principles (PBE) data for Na2Cd5Pd2Pt after structural relaxation, as listed in Alexandria.

formation energy from the elements: -275 meV/atom

Cell: 10.8931 10.8931 3.6002 Å, 90.00 90.00 90.00°
Positions (direct):
Na 0.1735 0.3265 0.0000
Na 0.3265 0.8265 0.0000
Na 0.6735 0.1735 0.0000
Na 0.8265 0.6735 0.0000
Cd 0.0000 0.5000 0.5000
Cd 0.0612 0.8095 0.5000
Cd 0.1905 0.0612 0.5000
Cd 0.3095 0.5612 0.5000
Cd 0.4388 0.3095 0.5000
Cd 0.5000 0.0000 0.5000
Cd 0.5612 0.6905 0.5000
Cd 0.6905 0.4388 0.5000
Cd 0.8095 0.9388 0.5000
Cd 0.9388 0.1905 0.5000
Pd 0.1319 0.6319 0.0000
Pd 0.3681 0.1319 0.0000
Pd 0.6319 0.8681 0.0000
Pd 0.8681 0.3681 0.0000
Pt 0.0000 0.0000 0.0000
Pt 0.5000 0.5000 0.0000

Entry 14:
First-principles (PBE) data for Rb2NaCdPd after structural relaxation, as listed in Alexandria.

formation energy from the elements: 30 meV/atom

Cell: 6.5478 6.5478 5.3388 Å, 90.00 90.00 90.00°
Positions (direct):
Rb 0.0000 0.5000 0.0000
Rb 0.5000 0.0000 0.0000
Na 0.0000 0.0000 0.5000
Cd 0.5000 0.5000 0.5000
Pd 0.5000 0.5000 0.0000

Entry 15:
First-principles (PBE) data for Na2CdSb2Pd5 after structural relaxation, as listed in Alexandria.

final energy: -4.13 eV per atom

Cell: 10.6063 10.6063 3.5731 Å, 90.00 90.00 90.00°
Positions (direct):
Na 0.1686 0.3314 0.0000
Na 0.3314 0.8314 0.0000
Na 0.6686 0.1686 0.0000
Na 0.8314 0.6686 0.0000
Cd 0.0000 0.0000 0.0000
Cd 0.5000 0.5000 0.0000
Sb 0.1339 0.6339 0.0000
Sb 0.3661 0.1339 0.0000
Sb 0.6339 0.8661 0.0000
Sb 0.8661 0.3661 0.0000
Pd 0.0000 0.5000 0.5000
Pd 0.0557 0.8044 0.5000
Pd 0.1956 0.0557 0.5000
Pd 0.3044 0.5557 0.5000
Pd 0.4443 0.3044 0.5000
Pd 0.5000 0.0000 0.5000
Pd 0.5557 0.6956 0.5000
Pd 0.6956 0.4443 0.5000
Pd 0.8044 0.9443 0.5000
Pd 0.9443 0.1956 0.5000

Entry 16:
First-principles (PBE) data for Na3Cd2Sb4Pd2 after structural relaxation, as listed in Alexandria.

final energy: -3.29 eV per atom

Cell: 4.8685 4.8685 13.0205 Å, 90.00 90.00 120.00°
Positions (direct):
Na 0.0000 0.0000 0.0000
Na 0.0000 0.0000 0.2969
Na 0.0000 0.0000 0.7031
Cd 0.3333 0.6667 0.1140
Cd 0.6667 0.3333 0.8860
Sb 0.3333 0.6667 0.4174
Sb 0.3333 0.6667 0.8397
Sb 0.6667 0.3333 0.1603
Sb 0.6667 0.3333 0.5826
Pd 0.3333 0.6667 0.6202
Pd 0.6667 0.3333 0.3798

Entry 17:
First-principles (PBE) data for NaCdSn4Pd2 after structural relaxation, as listed in Alexandria.

formation energy from the elements: -82 meV/atom

Cell: 4.2789 4.2789 11.3391 Å, 90.00 90.00 90.00°
Positions (direct):
Na 0.0000 0.0000 0.0000
Cd 0.0000 0.0000 0.5000
Sn 0.0000 0.5000 0.2306
Sn 0.0000 0.5000 0.7694
Sn 0.5000 0.0000 0.2306
Sn 0.5000 0.0000 0.7694
Pd 0.5000 0.5000 0.3839
Pd 0.5000 0.5000 0.6161

Entry 18:
First-principles (PBE) data for Na2CdSn2Pd5 after structural relaxation, as listed in Alexandria.

formation energy from the elements: -346 meV/atom

Cell: 10.1372 10.1372 3.8198 Å, 90.00 90.00 90.00°
Positions (direct):
Na 0.1698 0.3302 0.0000
Na 0.3302 0.8302 0.0000
Na 0.6698 0.1698 0.0000
Na 0.8302 0.6698 0.0000
Cd 0.0000 0.0000 0.0000
Cd 0.5000 0.5000 0.0000
Sn 0.1305 0.6305 0.0000
Sn 0.3695 0.1305 0.0000
Sn 0.6305 0.8695 0.0000
Sn 0.8695 0.3695 0.0000
Pd 0.0000 0.5000 0.5000
Pd 0.0656 0.8038 0.5000
Pd 0.1962 0.0656 0.5000
Pd 0.3038 0.5656 0.5000
Pd 0.4344 0.3038 0.5000
Pd 0.5000 0.0000 0.5000
Pd 0.5656 0.6962 0.5000
Pd 0.6962 0.4344 0.5000
Pd 0.8038 0.9344 0.5000
Pd 0.9344 0.1962 0.5000

Entry 19:
First-principles (PBE) data for NaSr2CdPd after structural relaxation, as listed in Alexandria.

energy above the lowest structure with this stoichiometry: 0.50 eV per formula unit
formation energy from the elements: -184 meV/atom

Cell: 5.8729 5.8729 5.4228 Å, 90.00 90.00 90.00°
Positions (direct):
Na 0.0000 0.0000 0.0000
Sr 0.0000 0.5000 0.5000
Sr 0.5000 0.0000 0.5000
Cd 0.5000 0.5000 0.0000
Pd 0.0000 0.0000 0.5000

Entry 20:
First-principles (PBE) data for NaSr2CdPd after structural relaxation, as listed in Alexandria.

energy above the lowest structure with this stoichiometry: 0.00 eV per formula unit
formation energy from the elements: -283 meV/atom

Cell: 5.8963 5.8963 5.3590 Å, 90.00 90.00 90.00°
Positions (direct):
Na 0.0000 0.0000 0.0000
Sr 0.0000 0.5000 0.5000
Sr 0.5000 0.0000 0.5000
Cd 0.5000 0.5000 0.0000
Pd 0.5000 0.5000 0.5000

| no. | size of the total moment (μB per atom) |
| --- | --- |
| 1 | 0.000 |
| 2 | 0.000 |
| 3 | 0.000 |
| 4 | 0.000 |
| 5 | 0.000 |
| 6 | 0.000 |
| 7 | 0.000 |
| 8 | 0.000 |
| 9 | 0.000 |
| 10 | 0.000 |
| 11 | 0.000 |
| 12 | 0.000 |
| 13 | 0.000 |
| 14 | 0.000 |
| 15 | 0.000 |
| 16 | 0.000 |
| 17 | 0.000 |
| 18 | 0.000 |
| 19 | 0.000 |
| 20 | 0.000 |